(1)
Here is crystalline Cd2InSb at its relaxed geometry from the Alexandria database. Energies are from PBEsol.

Cell lengths 4.3464, 4.3464, 5.9364 Å; angles 111.47, 111.47, 90.00 degrees
Last column: nearest neighbours and their distance in Å.
Element x y z (fractional)
Sb1 0.2500 0.7500 0.5000  8 Cd 3.07-3.34, 4 In 3.34
Cd1 0.0000 0.0000 0.0000  4 In 3.07, 4 Cd 3.34, 4 Sb 3.34
Cd2 0.7500 0.2500 0.5000  4 Sb 3.07, 4 Cd 3.34, 4 In 3.34
In1 0.5000 0.5000 0.0000  8 Cd 3.07-3.34, 4 Sb 3.34

Calculated values
The uncorrected formation energy comes out at 0.075 eV/atom.

(2)
Here is crystalline SrGeP2 at its relaxed geometry from the Alexandria database. Energies are from PBEsol.

Cell lengths 6.2711, 6.2711, 6.2711 Å; angles 76.80, 67.30, 112.70 degrees
Last column: nearest neighbours and their distance in Å.
Element x y z (fractional)
Sr1 0.5000 0.2500 0.2500  4 P 3.04
Sr2 0.0000 0.0000 0.0000  4 P 3.04
Ge1 0.5000 0.7500 0.7500  4 P 2.31
Ge2 0.0000 0.5000 0.5000  4 P 2.31
P1 0.0804 0.4554 0.1250  2 Ge 2.31
P2 0.9196 0.7946 0.6250  2 Ge 2.31
P3 0.5804 0.1250 0.7946  2 Ge 2.31
P4 0.4196 0.6250 0.4554  2 Ge 2.31

Calculated values
As for the formation energy: -0.5507 eV/atom.

(3)
Here is crystalline Ag4Au at its relaxed geometry from the Alexandria database. Energies are from PBEsol.

Cell lengths 2.8818, 4.9545, 6.3684 Å; angles 75.26, 76.92, 73.09 degrees
Last column: nearest neighbours and their distance in Å.
Element x y z (fractional)
Au1 0.0000 0.5000 0.5000  10 Ag 2.86-2.87, 2 Au 2.88
Ag1 0.4008 0.2989 0.8994  10 Ag 2.85-2.88, 2 Au 2.86
Ag2 0.7997 0.1018 0.2987  9 Ag 2.85-2.88, 3 Au 2.86-2.87
Ag3 0.2003 0.8982 0.7013  9 Ag 2.85-2.88, 3 Au 2.86-2.87
Ag4 0.5992 0.7011 0.1006  10 Ag 2.85-2.88, 2 Au 2.86

Calculated values
As for the formation energy: -0.0289 eV/atom.

(4)
Here is crystalline Zn2Ag at its relaxed geometry from the Alexandria database. Energies are from PBEsol.

Cell lengths 2.9403, 3.4363, 4.9028 Å; angles 110.51, 107.45, 90.00 degrees
Last column: nearest neighbours and their distance in Å.
Element x y z (fractional)
Zn1 0.3283 0.3283 0.6565  6 Zn 2.64-2.94, 5 Ag 2.71-2.86
Zn2 0.6717 0.6717 0.3435  6 Zn 2.64-2.94, 5 Ag 2.71-2.86
Ag1 0.0000 0.0000 0.0000  10 Zn 2.71-2.86, 2 Ag 2.94

Calculated values
As for the formation energy: -0.0432 eV/atom.

(5)
Here is crystalline K2P2O5F2 at its relaxed geometry from the Alexandria database. Energies are from PBEsol.

Cell lengths 7.2217, 7.4182, 7.4182 Å; angles 118.14, 89.97, 90.03 degrees
Last column: nearest neighbours and their distance in Å.
Element x y z (fractional)
F1 0.9257 0.1782 0.8770  1 P 1.59
F2 0.5743 0.8770 0.1782  1 P 1.59
F3 0.0743 0.8218 0.1230  1 P 1.59
F4 0.4257 0.1230 0.8218  1 P 1.59
K1 0.3611 0.5015 0.2214  6 O 2.69-2.97, 1 F 3.01
K2 0.1389 0.2214 0.5015  6 O 2.69-2.97, 1 F 3.01
K3 0.6389 0.4985 0.7786  6 O 2.69-2.97, 1 F 3.01
K4 0.8611 0.7786 0.4985  6 O 2.69-2.97, 1 F 3.01
O1 0.7500 0.1109 0.1109  2 P 1.62
O2 0.2500 0.8891 0.8891  2 P 1.62
O3 0.7212 0.4588 0.1180  1 P 1.49
O4 0.7788 0.1180 0.4588  1 P 1.49
O5 0.2788 0.5412 0.8820  1 P 1.49
O6 0.2212 0.8820 0.5412  1 P 1.49
O7 0.0197 0.3655 0.2452  1 P 1.49
O8 0.4803 0.2452 0.3655  1 P 1.49
O9 0.9803 0.6345 0.7548  1 P 1.49
O10 0.5197 0.7548 0.6345  1 P 1.49
P1 0.8558 0.3008 0.1066  3 O 1.49-1.62, 1 F 1.59
P2 0.6442 0.1066 0.3008  3 O 1.49-1.62, 1 F 1.59
P3 0.1442 0.6992 0.8934  3 O 1.49-1.62, 1 F 1.59
P4 0.3558 0.8934 0.6992  3 O 1.49-1.62, 1 F 1.59

Calculated values
The uncorrected formation energy comes out at -2.413 eV/atom.

(6)
Here is crystalline Li2MgSi at its relaxed geometry from the Alexandria database. Energies are from PBEsol.

Cell lengths 6.3101, 6.3101, 6.3101 Å; angles 90.00, 90.00, 90.00 degrees
Last column: nearest neighbours and their distance in Å.
Element x y z (fractional)
Si1 0.2539 0.2539 0.2539  7 Li 2.69-2.99, 4 Mg 2.75-2.78
Si2 0.7461 0.7461 0.2539  7 Li 2.69-2.99, 4 Mg 2.75-2.78
Si3 0.7461 0.2539 0.7461  7 Li 2.69-2.99, 4 Mg 2.75-2.78
Si4 0.2539 0.7461 0.7461  7 Li 2.69-2.99, 4 Mg 2.75-2.78
Mg1 0.0000 0.0000 0.0000  4 Si 2.78, 4 Li 2.98
Mg2 0.5000 0.0000 0.0000  4 Si 2.75, 4 Li 2.82
Mg3 0.0000 0.5000 0.0000  4 Si 2.75, 4 Li 2.82
Mg4 0.0000 0.0000 0.5000  4 Si 2.75, 4 Li 2.82
Li1 0.5000 0.5000 0.5000  4 Li 2.49, 4 Si 2.69
Li2 0.0000 0.5000 0.5000  4 Li 2.66, 4 Si 2.72
Li3 0.5000 0.0000 0.5000  4 Li 2.66, 4 Si 2.72
Li4 0.5000 0.5000 0.0000  4 Li 2.66, 4 Si 2.72
Li5 0.7274 0.7274 0.7274  4 Li 2.49-2.66
Li6 0.2726 0.2726 0.7274  4 Li 2.49-2.66
Li7 0.2726 0.7274 0.2726  4 Li 2.49-2.66
Li8 0.7274 0.2726 0.2726  4 Li 2.49-2.66

Calculated values
The uncorrected formation energy comes out at -0.264 eV/atom.

(7)
Here is crystalline BMoBr2 at its relaxed geometry from the Alexandria database. Energies are from PBEsol.

Cell lengths 5.3032, 6.6442, 5.3032 Å; angles 66.48, 90.00, 113.52 degrees
Last column: nearest neighbours and their distance in Å.
Element x y z (fractional)
Mo1 0.7500 0.5000 0.7500  4 Br 2.45
Mo2 0.0000 0.0000 0.0000  4 Br 2.45
B1 0.2500 0.5000 0.2500  4 Br 2.21
B2 0.5000 0.0000 0.5000  4 Br 2.21
Br1 0.1639 0.7500 0.8750  2 B 2.21, 2 Mo 2.45
Br2 0.5861 0.7500 0.3750  2 B 2.21, 2 Mo 2.45
Br3 0.3750 0.2500 0.1639  2 B 2.21, 2 Mo 2.45
Br4 0.8750 0.2500 0.5861  2 B 2.21, 2 Mo 2.45

Calculated values
The uncorrected formation energy comes out at 1.528 eV/atom.

(8)
Here is crystalline MnBr3Cl at its relaxed geometry from the Alexandria database. Energies are from PBEsol.

Cell lengths 4.9471, 4.9471, 4.9471 Å; angles 90.00, 90.00, 90.00 degrees
Last column: nearest neighbours and their distance in Å.
Element x y z (fractional)
Mn1 0.0000 0.0000 0.0000  6 Br 2.47
Br1 0.0000 0.5000 0.0000  2 Mn 2.47
Br2 0.0000 0.0000 0.5000  2 Mn 2.47
Br3 0.5000 0.0000 0.0000  2 Mn 2.47
Cl1 0.5000 0.5000 0.5000  12 Br 3.50

Calculated values
The uncorrected formation energy comes out at -0.126 eV/atom.

(9)
Here is crystalline CaGa2Rh2 at its relaxed geometry from the Alexandria database. Energies are from PBEsol.

Cell lengths 4.2446, 4.2446, 5.7585 Å; angles 111.63, 111.63, 90.00 degrees
Last column: nearest neighbours and their distance in Å.
Element x y z (fractional)
Ca1 0.0000 0.0000 0.0000  8 Rh 3.25, 8 Ga 3.26
Rh1 0.2500 0.7500 0.5000  4 Ga 2.43
Rh2 0.7500 0.2500 0.5000  4 Ga 2.43
Ga1 0.3702 0.3702 0.7404  4 Rh 2.43, 1 Ga 2.55
Ga2 0.6298 0.6298 0.2596  4 Rh 2.43, 1 Ga 2.55

Calculated values
As for the formation energy: -0.6884 eV/atom.

(10)
Here is crystalline Sr2Hf2Tl at its relaxed geometry from the Alexandria database. Energies are from PBEsol.

Cell lengths 4.3639, 4.3639, 8.3591 Å; angles 105.13, 105.13, 90.00 degrees
Last column: nearest neighbours and their distance in Å.
Element x y z (fractional)
Sr1 0.2500 0.7500 0.5000  4 Sr 3.09, 4 Hf 3.44
Sr2 0.7500 0.2500 0.5000  4 Sr 3.09, 4 Hf 3.44
Tl1 0.0000 0.0000 0.0000  8 Hf 3.32
Hf1 0.4215 0.4215 0.8429  1 Hf 2.44
Hf2 0.5785 0.5785 0.1571  1 Hf 2.44

Calculated values
As for the formation energy: 0.9381 eV/atom.

(11)
Here is crystalline MgFePb2 at its relaxed geometry from the Alexandria database. Energies are from PBEsol.

Cell lengths 4.1956, 4.1956, 5.7752 Å; angles 111.30, 111.30, 90.00 degrees
Last column: nearest neighbours and their distance in Å.
Element x y z (fractional)
Fe1 0.5000 0.5000 0.0000  8 Pb 2.97-3.25, 4 Mg 3.25
Mg1 0.2500 0.7500 0.5000  8 Pb 2.97-3.25, 4 Fe 3.25
Pb1 0.0000 0.0000 0.0000  4 Fe 2.97, 4 Mg 3.25, 4 Pb 3.25
Pb2 0.7500 0.2500 0.5000  4 Mg 2.97, 4 Pb 3.25, 4 Fe 3.25

Calculated values
As for the formation energy: 0.4081 eV/atom.

(12)
Here is crystalline CoReSi2 at its relaxed geometry from the Alexandria database. Energies are from PBEsol.

Cell lengths 2.6640, 3.6644, 5.0385 Å; angles 90.00, 90.00, 90.00 degrees
Last column: nearest neighbours and their distance in Å.
Element x y z (fractional)
Co1 0.0000 0.0000 0.4502  5 Si 2.35-2.41
Re1 0.5000 0.5000 0.7801  6 Si 2.49-2.55, 2 Re 2.66
Si1 0.0000 0.0000 0.9838  1 Co 2.35, 4 Re 2.49
Si2 0.5000 0.5000 0.2859  4 Co 2.41, 2 Re 2.49-2.55, 2 Si 2.66

Calculated values
The uncorrected formation energy comes out at -0.263 eV/atom.